A relaxed Ac2SnAu2 crystal. Source: OQMD, functional PBE-GGA.

a = 8.361 Å, b = 8.361 Å, c = 4.211 Å
α = 90.00°, β = 90.00°, γ = 90.00°
Element x y z (fractional)
Au 0.377 0.877 0.000
Au 0.123 0.377 0.000
Au 0.623 0.123 0.000
Au 0.877 0.623 0.000
Sn 0.500 0.500 0.000
Sn 0.000 0.000 0.000
Ac 0.176 0.676 0.500
Ac 0.824 0.324 0.500
Ac 0.324 0.176 0.500
Ac 0.676 0.824 0.500

Output
For the total energy, the calculation gives -4.579 eV/atom.


A relaxed ZrAgAsO crystal. Source: OQMD, functional PBE-GGA.

a = 5.479 Å, b = 5.479 Å, c = 4.660 Å
α = 90.00°, β = 90.00°, γ = 90.00°
Element x y z (fractional)
Ag 0.000 0.500 0.069
Ag 0.500 0.000 0.931
As 0.500 0.000 0.434
As 0.000 0.500 0.566
Zr 0.500 0.500 0.500
Zr 0.000 0.000 0.500
O 0.500 0.500 0.000
O 0.000 0.000 0.000

Output
The calculation puts the energy relative to the lowest polymorph listed for this composition at 51.1 kJ/mol of atoms.


A relaxed Li4AlIn2Ag crystal. Source: OQMD, functional PBE-GGA.

a = 4.580 Å, b = 4.580 Å, c = 6.615 Å
α = 90.00°, β = 90.00°, γ = 90.00°
Element x y z (fractional)
Li 0.000 0.000 0.500
Li 0.500 0.000 0.755
Li 0.500 0.500 0.000
Li 0.000 0.500 0.245
In 0.500 0.000 0.253
In 0.000 0.500 0.747
Ag 0.000 0.000 0.000
Al 0.500 0.500 0.500

Output
For the total energy, the calculation gives -2.739 eV/atom.